A relaxed structure of Nd2AsS. Source: Alexandria via LeMat-Bulk, functional GGA-PBE.

Lattice parameters (Å, degrees): 4.1831 5.9101 8.3443 90.00 90.00 90.00
Fractional positions:
Nd (0.5000, 0.5000, 0.1256)
Nd (0.5000, 0.5000, 0.6243)
S (0.5000, 0.0000, 0.6227)
As (0.5000, 0.0000, 0.1278)
As (0.0000, 0.5000, 0.8722)
Nd (0.0000, 0.0000, 0.3757)
Nd (0.0000, 0.0000, 0.8744)
S (0.0000, 0.5000, 0.3773)

Electronic total energy: -51.01 eV per cell
Excess energy over the best structure of this formula in the dataset: 0 meV per atom
M_tot: 0.00 μB per formula unit
Formation energy from raw total energies: -41.47 kcal/mol of atoms

=====

A relaxed structure of Tb5Y6Sc2. Source: Alexandria via LeMat-Bulk, functional GGA-PBE.

Lattice parameters (Å, degrees): 3.5049 10.6222 22.2141 90.00 90.00 90.00
Fractional positions:
Y (0.0000, 0.5355, 0.3881)
Y (0.5000, 0.3343, 0.1401)
Y (0.5000, 0.6657, 0.8599)
Tb (0.5000, 0.4142, 0.7487)
Y (0.5000, 0.1657, 0.6401)
Sc (0.0000, 0.6643, 0.7278)
Tb (0.5000, 0.5000, 0.0000)
Y (0.5000, 0.8343, 0.3599)
Y (0.0000, 0.1355, 0.3832)
Y (0.0000, 0.3645, 0.8832)
Y (0.0000, 0.9645, 0.8881)
Sc (0.0000, 0.3357, 0.2722)
Y (0.0000, 0.4645, 0.6119)
Tb (0.5000, 0.0858, 0.2487)
Tb (0.5000, 0.1657, 0.9890)
Tb (0.5000, 0.6657, 0.5110)
Y (0.0000, 0.8645, 0.6168)
Tb (0.5000, 0.0000, 0.5000)
Tb (0.5000, 0.3343, 0.4890)
Tb (0.5000, 0.9142, 0.7513)
Sc (0.0000, 0.1643, 0.7722)
Y (0.0000, 0.6355, 0.1168)
Y (0.0000, 0.0355, 0.1119)
Tb (0.5000, 0.5858, 0.2513)
Sc (0.0000, 0.8357, 0.2278)
Tb (0.5000, 0.8343, 0.0110)

Formation energy: 0.14 eV/atom
Electronic total energy: -145.52 eV per cell
M_tot: 0.00 μB per formula unit

=====

A relaxed structure of La2NdSm6Y. Source: Alexandria via LeMat-Bulk, functional GGA-PBE.

Lattice parameters (Å, degrees): 10.0512 8.9162 8.9162 118.19 95.05 95.05
Fractional positions:
La (0.5406, 0.1937, 0.2918)
Sm (0.3126, 0.9796, 0.4223)
Nd (0.2500, 0.9870, 0.0130)
Sm (0.1203, 0.7029, 0.4938)
Nd (0.7500, 0.0130, 0.9870)
Sm (0.6874, 0.0204, 0.5777)
La (0.4594, 0.8063, 0.7082)
La (0.0406, 0.2918, 0.1937)
Y (0.7500, 0.5946, 0.4054)
Sm (0.4443, 0.2615, 0.8800)
Sm (0.9443, 0.8800, 0.2615)
Sm (0.5557, 0.7385, 0.1200)
Sm (0.8126, 0.4223, 0.9796)
Sm (0.6203, 0.4938, 0.7029)
Sm (0.0557, 0.1200, 0.7385)
Sm (0.1874, 0.5777, 0.0204)
Y (0.2500, 0.4054, 0.5946)
La (0.9594, 0.7082, 0.8063)
Sm (0.8797, 0.2971, 0.5062)
Sm (0.3797, 0.5062, 0.2971)

Formation energy: 0.11 eV/atom
Electronic total energy: -96.60 eV per cell
M_tot: 0.00 μB per formula unit